Record 1
An optimized crystal structure of PuTlCd6, computed with PBE. Values from VASP.

Quantum ESPRESSO input file:
```
&SYSTEM
  ibrav = 0, nat = 16, ntyp = 3
/
ATOMIC_SPECIES
Pu 244.00 Pu.upf
Tl 204.38 Tl.upf
Cd 112.41 Cd.upf
ATOMIC_POSITIONS angstrom
Pu 0.000 0.000 0.000
Pu 0.000 3.908 5.193
Tl 2.445 0.000 8.090
Tl 2.445 3.908 2.897
Cd 0.000 0.000 6.025
Cd 0.000 1.506 3.028
Cd 0.000 2.402 8.221
Cd 0.000 3.908 0.833
Cd 0.000 5.414 8.221
Cd 0.000 6.310 3.028
Cd 2.445 0.000 2.087
Cd 2.445 1.604 5.158
Cd 2.445 2.303 10.350
Cd 2.445 3.908 7.280
Cd 2.445 5.512 10.350
Cd 2.445 6.211 5.158
CELL_PARAMETERS angstrom
4.889 0.000 0.000
0.000 7.816 0.000
0.000 0.000 10.385
```

Calculated values
Density = 9.397 g/cm3
Energy of formation from the pure elements = 1 meV per atom
SG = Amm2 (38)

=====

Record 2
An optimized crystal structure of TaNbOsPt, computed with PBE. Values from VASP.

Quantum ESPRESSO input file:
```
&SYSTEM
  ibrav = 0, nat = 4, ntyp = 4
/
ATOMIC_SPECIES
Ta 180.95 Ta.upf
Nb 92.91 Nb.upf
Os 190.23 Os.upf
Pt 195.08 Pt.upf
ATOMIC_POSITIONS angstrom
Ta 0.000 0.000 0.000
Nb 0.000 2.036 2.050
Os 1.955 0.000 2.050
Pt 1.955 2.036 0.000
CELL_PARAMETERS angstrom
3.909 0.000 0.000
0.000 4.072 0.000
0.000 0.000 4.100
```

Calculated values
Density = 16.771 g/cm3
Energy of formation from the pure elements = -403 meV per atom
SG = Pmmm (47)

=====

Record 3
An optimized crystal structure of Na2YZnSn2, computed with PBE. Values from VASP.

Quantum ESPRESSO input file:
```
&SYSTEM
  ibrav = 0, nat = 12, ntyp = 4
/
ATOMIC_SPECIES
Na 22.99 Na.upf
Y 88.91 Y.upf
Zn 65.41 Zn.upf
Sn 118.71 Sn.upf
ATOMIC_POSITIONS angstrom
Na 0.000 0.700 0.000
Na 0.000 8.149 3.770
Na 2.367 1.356 2.342
Na 2.367 7.493 6.112
Y 2.367 4.239 7.518
Y 2.367 4.610 3.748
Zn 0.000 2.756 4.689
Zn 0.000 6.093 0.919
Sn 0.000 3.423 1.947
Sn 0.000 5.426 5.717
Sn 2.367 1.717 5.535
Sn 2.367 7.132 1.765
CELL_PARAMETERS angstrom
4.735 0.000 0.000
0.000 8.849 0.000
0.000 0.000 7.540
```

Calculated values
Density = 4.602 g/cm3
Energy of formation from the pure elements = -356 meV per atom
SG = Pmc2_1 (26)